Record 1
# PBE SrZn2Mo, optimized geometry
data_SrZn2Mo
_cell_length_a 2.995
_cell_length_b 5.187
_cell_length_c 10.160
_cell_angle_alpha 90.00
_cell_angle_beta 90.00
_cell_angle_gamma 90.00
_space_group_name_H-M_alt 'I m m 2'
_space_group_IT_number 44
loop_
_space_group_symop_operation_xyz
'x,y,z'
'-x,-y,z'
'-x,y,z'
'x,-y,z'
'x+1/2,y+1/2,z+1/2'
'-x+1/2,-y+1/2,z+1/2'
'-x+1/2,y+1/2,z+1/2'
'x+1/2,-y+1/2,z+1/2'
loop_
_atom_site_label
_atom_site_type_symbol
_atom_site_fract_x
_atom_site_fract_y
_atom_site_fract_z
_atom_site_occupancy
Sr1 Sr 0.000 0.000 0.000 1
Zn1 Zn 0.000 0.000 0.493 1
Zn2 Zn 0.000 0.500 0.773 1
Mo1 Mo 0.000 0.500 0.215 1
# Formation energy from the elements = 0.50 eV per atom
# Raw total energy = -3.27 eV/atom
# Excess energy over the best structure of this formula in the dataset = 216 meV/atom
# Spin magnetization = 0.00 μB/cell

Record 2
# PBE SeIBrN2, optimized geometry
data_SeIBrN2
_cell_length_a 4.044
_cell_length_b 4.044
_cell_length_c 8.495
_cell_angle_alpha 90.00
_cell_angle_beta 90.00
_cell_angle_gamma 90.00
_space_group_name_H-M_alt 'P 4/m m m'
_space_group_IT_number 123
_space_group_name_Hall '-P 4 2'
loop_
_atom_site_label
_atom_site_type_symbol
_atom_site_fract_x
_atom_site_fract_y
_atom_site_fract_z
_atom_site_occupancy
Se1 Se 0.000 0.000 0.000 1
I1 I 0.000 0.000 0.500 1
Br1 Br 0.500 0.500 0.500 1
N1 N 0.000 0.500 0.000 1
# ΔE_f (raw) = 8.02 eV/f.u.
# Raw total energy = -3.07 eV/atom
# Excess energy over the best structure of this formula in the dataset = 0 meV/atom
# Spin magnetization = 1.95 μB/cell

Record 3
# PBE YTaPb2, optimized geometry
data_YTaPb2
_cell_length_a 11.682
_cell_length_b 3.254
_cell_length_c 5.397
_cell_angle_alpha 90.00
_cell_angle_beta 100.18
_cell_angle_gamma 90.00
_space_group_name_H-M_alt 'C 1 m 1'
_space_group_IT_number 8
loop_
_space_group_symop_operation_xyz
'x,y,z'
'x,-y,z'
'x+1/2,y+1/2,z'
'x+1/2,-y+1/2,z'
loop_
_atom_site_label
_atom_site_type_symbol
_atom_site_fract_x
_atom_site_fract_y
_atom_site_fract_z
_atom_site_occupancy
Y1 Y 0.000 0.000 0.000 1
Ta1 Ta 0.228 0.500 0.264 1
Pb1 Pb 0.240 0.000 0.774 1
Pb2 Pb 0.468 0.000 0.479 1
# Formation energy from the elements = 0.25 eV per atom
# Raw total energy = -6.18 eV/atom
# Spin magnetization = 0.00 μB/cell

Record 4
# PBE La3PmTm2Te6, optimized geometry
data_La3PmTm2Te6
_cell_length_a 19.552
_cell_length_b 4.428
_cell_length_c 9.025
_cell_angle_alpha 90.00
_cell_angle_beta 104.26
_cell_angle_gamma 90.00
_space_group_name_H-M_alt 'C 1 2/m 1'
_space_group_IT_number 12
loop_
_space_group_symop_operation_xyz
'x,y,z'
'-x,-y,-z'
'-x,y,-z'
'x,-y,z'
'x+1/2,y+1/2,z'
'-x+1/2,-y+1/2,-z'
'-x+1/2,y+1/2,-z'
'x+1/2,-y+1/2,z'
loop_
_atom_site_label
_atom_site_type_symbol
_atom_site_fract_x
_atom_site_fract_y
_atom_site_fract_z
_atom_site_occupancy
La1 La 0.000 0.000 0.000 1
La2 La 0.162 0.500 0.333 1
Pm1 Pm 0.000 0.000 0.500 1
Tm1 Tm 0.165 0.500 0.831 1
Te1 Te 0.007 0.500 0.749 1
Te2 Te 0.167 0.000 0.599 1
Te3 Te 0.172 0.000 0.072 1
# ΔE_f (raw) = -17.15 eV/f.u.
# Raw total energy = -5.37 eV/atom
# Spin magnetization = 0.00 μB/cell

Record 5
# PBE Ac3GaSn2Pd6, optimized geometry
data_Ac3GaSn2Pd6
_cell_length_a 6.0362
_cell_length_b 6.0362
_cell_length_c 9.0062
_cell_angle_alpha 90.00
_cell_angle_beta 90.00
_cell_angle_gamma 120.00
_space_group_name_H-M_alt 'P -3 m 1'
_space_group_IT_number 164
_space_group_name_Hall '-P 3 2"'
loop_
_atom_site_label
_atom_site_type_symbol
_atom_site_fract_x
_atom_site_fract_y
_atom_site_fract_z
_atom_site_occupancy
Ac1 Ac 0.0000 0.0000 0.0000 1
Ac2 Ac 0.3333 0.6667 0.6513 1
Ga1 Ga 0.0000 0.0000 0.5000 1
Sn1 Sn 0.3333 0.6667 0.0518 1
Pd1 Pd 0.1732 0.3463 0.3020 1
# Formation energy from the elements = -0.76 eV per atom
# Raw total energy = -5.30 eV/atom
# Spin magnetization = 0.00 μB/cell

Record 6
# PBE KAl2Ir, optimized geometry
data_KAl2Ir
_cell_length_a 3.007
_cell_length_b 3.007
_cell_length_c 8.934
_cell_angle_alpha 90.00
_cell_angle_beta 90.00
_cell_angle_gamma 90.00
_space_group_name_H-M_alt 'P 4/m m m'
_space_group_IT_number 123
_space_group_name_Hall '-P 4 2'
loop_
_atom_site_label
_atom_site_type_symbol
_atom_site_fract_x
_atom_site_fract_y
_atom_site_fract_z
_atom_site_occupancy
K1 K 0.000 0.000 0.000 1
Al1 Al 0.500 0.500 0.326 1
Ir1 Ir 0.000 0.000 0.500 1
# Formation energy from the elements = -0.20 eV per atom
# Raw total energy = -4.56 eV/atom
# Excess energy over the best structure of this formula in the dataset = 1 meV/atom
# Spin magnetization = 0.00 μB/cell

Record 7
# PBE CoAgBMo2, optimized geometry
data_CoAgBMo2
_cell_length_a 4.918
_cell_length_b 4.918
_cell_length_c 3.806
_cell_angle_alpha 90.00
_cell_angle_beta 90.00
_cell_angle_gamma 90.00
_space_group_name_H-M_alt 'P 4/m m m'
_space_group_IT_number 123
_space_group_name_Hall '-P 4 2'
loop_
_atom_site_label
_atom_site_type_symbol
_atom_site_fract_x
_atom_site_fract_y
_atom_site_fract_z
_atom_site_occupancy
Co1 Co 0.000 0.000 0.000 1
Ag1 Ag 0.500 0.500 0.500 1
B1 B 0.500 0.500 0.000 1
Mo1 Mo 0.000 0.500 0.500 1
# Formation energy from the elements = 2.44 eV per atom
# Raw total energy = -5.22 eV/atom
# Spin magnetization = 3.55 μB/cell

Record 8
# PBE SnSbHI2, optimized geometry
data_SnSbHI2
_cell_length_a 5.772
_cell_length_b 5.772
_cell_length_c 3.984
_cell_angle_alpha 90.00
_cell_angle_beta 90.00
_cell_angle_gamma 90.00
_space_group_name_H-M_alt 'P 4/m m m'
_space_group_IT_number 123
_space_group_name_Hall '-P 4 2'
loop_
_atom_site_label
_atom_site_type_symbol
_atom_site_fract_x
_atom_site_fract_y
_atom_site_fract_z
_atom_site_occupancy
Sn1 Sn 0.000 0.000 0.000 1
Sb1 Sb 0.500 0.500 0.000 1
H1 H 0.500 0.500 0.500 1
I1 I 0.000 0.500 0.500 1
# Raw total energy = -2.63 eV/atom
# Excess energy over the best structure of this formula in the dataset = 0 meV/atom
# Spin magnetization = 0.00 μB/cell

Record 9
# PBE K3ZnTc, optimized geometry
data_K3ZnTc
_cell_length_a 6.406
_cell_length_b 6.406
_cell_length_c 6.406
_cell_angle_alpha 90.00
_cell_angle_beta 90.00
_cell_angle_gamma 90.00
_space_group_name_H-M_alt 'P m -3 m'
_space_group_IT_number 221
_space_group_name_Hall '-P 4 2 3'
loop_
_atom_site_label
_atom_site_type_symbol
_atom_site_fract_x
_atom_site_fract_y
_atom_site_fract_z
_atom_site_occupancy
K1 K 0.000 0.000 0.500 1
Zn1 Zn 0.500 0.500 0.500 1
Tc1 Tc 0.000 0.000 0.000 1
# Formation energy from the elements = 1.20 eV per atom
# Raw total energy = -1.78 eV/atom
# Excess energy over the best structure of this formula in the dataset = 0 meV/atom
# Spin magnetization = 2.27 μB/cell

Record 10
# PBE AcSm3H, optimized geometry
data_AcSm3H
_cell_length_a 5.212
_cell_length_b 5.212
_cell_length_c 5.212
_cell_angle_alpha 90.00
_cell_angle_beta 90.00
_cell_angle_gamma 90.00
_space_group_name_H-M_alt 'P m -3 m'
_space_group_IT_number 221
_space_group_name_Hall '-P 4 2 3'
loop_
_atom_site_label
_atom_site_type_symbol
_atom_site_fract_x
_atom_site_fract_y
_atom_site_fract_z
_atom_site_occupancy
Ac1 Ac 0.000 0.000 0.000 1
Sm1 Sm 0.000 0.500 0.500 1
H1 H 0.500 0.500 0.500 1
# Raw total energy = -4.48 eV/atom
# Spin magnetization = 0.00 μB/cell

Record 11
# PBE AlCu2Sb, optimized geometry
data_AlCu2Sb
_cell_length_a 3.660
_cell_length_b 3.660
_cell_length_c 5.085
_cell_angle_alpha 90.00
_cell_angle_beta 90.00
_cell_angle_gamma 90.00
_space_group_name_H-M_alt 'P 4 m m'
_space_group_IT_number 99
loop_
_space_group_symop_operation_xyz
'x,y,z'
'-y,x,z'
'-x,-y,z'
'y,-x,z'
'-x,y,z'
'y,x,z'
'x,-y,z'
'-y,-x,z'
loop_
_atom_site_label
_atom_site_type_symbol
_atom_site_fract_x
_atom_site_fract_y
_atom_site_fract_z
_atom_site_occupancy
Al1 Al 0.000 0.000 0.000 1
Cu1 Cu 0.000 0.000 0.483 1
Cu2 Cu 0.500 0.500 0.217 1
Sb1 Sb 0.500 0.500 0.715 1
# ΔE_f (raw) = 0.48 eV/f.u.
# Raw total energy = -3.90 eV/atom
# Excess energy over the best structure of this formula in the dataset = 86 meV/atom
# Spin magnetization = 0.00 μB/cell

Record 12
# PBE BaSiPd3, optimized geometry
data_BaSiPd3
_cell_length_a 5.337
_cell_length_b 5.337
_cell_length_c 5.337
_cell_angle_alpha 90.00
_cell_angle_beta 90.00
_cell_angle_gamma 90.00
_space_group_name_H-M_alt 'P m -3 m'
_space_group_IT_number 221
_space_group_name_Hall '-P 4 2 3'
loop_
_atom_site_label
_atom_site_type_symbol
_atom_site_fract_x
_atom_site_fract_y
_atom_site_fract_z
_atom_site_occupancy
Ba1 Ba 0.000 0.000 0.000 1
Si1 Si 0.500 0.500 0.500 1
Pd1 Pd 0.000 0.000 0.500 1
# ΔE_f (raw) = 6.63 eV/f.u.
# Raw total energy = -3.26 eV/atom
# Excess energy over the best structure of this formula in the dataset = 1987 meV/atom
# Spin magnetization = 0.00 μB/cell